Computed, not measured: crystalline NbVRuO6 at its relaxed geometry at the PBE with a Hubbard U level of DFT.

- space-group type = No. 163
- size of the total moment (μB per atom) = 0.005
- uncorrected energy (eV/cell) = -145.03

abc: 5.1022 5.1022 8.8144
angles: 90.00 90.00 120.00
Closest atoms and distances in Å follow each position.
Fractional coordinates of all 18 atoms:
Nb: 0.6667 0.3333 0.2500  6 O 2.02
Nb: 0.3333 0.6667 0.7500  6 O 2.02
V: 0.6667 0.3333 0.7500  6 O 2.03
O: 0.3302 0.3288 0.3731  1 Ru 2.02, 1 Nb 2.02, 1 V 2.03
O: 0.6712 0.6698 0.1269  1 Ru 2.02, 1 Nb 2.02, 1 V 2.03
O: 0.9987 0.3288 0.1269  1 Ru 2.02, 1 Nb 2.02, 1 V 2.03
O: 0.3302 0.0013 0.1269  1 Ru 2.02, 1 Nb 2.02, 1 V 2.03
O: 0.0013 0.3302 0.6269  1 Ru 2.02, 1 Nb 2.02, 1 V 2.03
O: 0.9987 0.6698 0.3731  1 Ru 2.02, 1 Nb 2.02, 1 V 2.03
O: 0.6698 0.9987 0.8731  1 Ru 2.02, 1 Nb 2.02, 1 V 2.03
O: 0.3288 0.3302 0.8731  1 Ru 2.02, 1 Nb 2.02, 1 V 2.03
O: 0.6712 0.0013 0.3731  1 Ru 2.02, 1 Nb 2.02, 1 V 2.03
O: 0.3288 0.9987 0.6269  1 Ru 2.02, 1 Nb 2.02, 1 V 2.03
O: 0.0013 0.6712 0.8731  1 Ru 2.02, 1 Nb 2.02, 1 V 2.03
Ru: 0.0000 0.0000 0.5000  6 O 2.02
V: 0.3333 0.6667 0.2500  6 O 2.03
Ru: 0.0000 0.0000 0.0000  6 O 2.02
O: 0.6698 0.6712 0.6269  1 Ru 2.02, 1 Nb 2.02, 1 V 2.03